1.
KPtI: optimized geometry, GGA-PBE.

Calculated values
ρ	6.0	g cm⁻³
V	201.3	Å³/cell

abc: 5.5273 3.9797 9.1535
angles: 90.00 91.01 90.00
Space group Pm (No. 6)
Symmetry-distinct sites (fractional):
K: 0.0000 0.0000 0.0000 (multiplicity 1)
K: 0.0005 0.0000 0.5242 (multiplicity 1)
Pt: 0.4967 0.0000 0.8312 (multiplicity 1)
Pt: 0.4993 0.5000 0.0248 (multiplicity 1)
I: 0.5016 0.5000 0.6316 (multiplicity 1)
I: 0.5057 0.0000 0.2304 (multiplicity 1)

---

2.
KPtI3: optimized geometry, GGA-PBE.

Calculated values
ρ	3.9	g cm⁻³
V	261.6	Å³/cell

abc: 6.3956 6.3956 6.3956
angles: 90.00 90.00 90.00
Space group Pm-3m (No. 221)
Symmetry-distinct sites (fractional):
K: 0.0000 0.0000 0.0000 (multiplicity 1)
Pt: 0.5000 0.5000 0.5000 (multiplicity 1)
I: 0.0000 0.0000 0.5000 (multiplicity 3)

---

3.
K12Pt3I5: optimized geometry, GGA-PBE.

Calculated values
ρ	2.9	g cm⁻³
V	7696.5	Å³/cell

abc: 19.7439 19.7439 19.7439
angles: 90.00 90.00 90.00
Space group Ia-3d (No. 230)
Symmetry-distinct sites (fractional):
K: 0.0125 0.0826 0.6547 (multiplicity 96)
Pt: 0.0000 0.2500 0.1250 (multiplicity 24)
I: 0.0000 0.0000 0.0000 (multiplicity 16)
I: 0.0000 0.2500 0.3750 (multiplicity 24)

---

4.
KPtI: optimized geometry, GGA-PBE.

Calculated values
ρ	6.9	g cm⁻³
V	348.4	Å³/cell

abc: 7.0366 7.0366 7.0366
angles: 90.00 90.00 90.00
Space group F-43m (No. 216)
Symmetry-distinct sites (fractional):
K: 0.0000 0.0000 0.0000 (multiplicity 4)
Pt: 0.2500 0.2500 0.7500 (multiplicity 4)
I: 0.0000 0.0000 0.5000 (multiplicity 4)

---

Number 1: formation energy without anion corrections -1.57 eV per formula unit. Number 2: formation energy without anion corrections 4.01 eV per formula unit. Number 3: formation energy without anion corrections -12.30 eV per formula unit. Number 4: formation energy without anion corrections -0.05 eV per formula unit.